The following is a PBE calculation of a relaxed Tb3CeHo2 crystal, from Alexandria via LeMat-Bulk.

Cell lengths 6.166, 6.166, 11.485 Å; angles 90.00, 90.00, 60.02 degrees
Atoms (fractional coordinates):
Tb  0.000  0.000  0.000
Tb  0.000  0.000  0.500
Tb  0.335  0.335  0.000
Tb  0.335  0.335  0.500
Tb  0.665  0.665  0.000
Tb  0.665  0.665  0.500
Ce  0.332  0.668  0.750
Ce  0.668  0.332  0.250
Ho  0.001  0.666  0.250
Ho  0.334  0.999  0.250
Ho  0.666  0.001  0.750
Ho  0.999  0.334  0.750

Summary:
- ΔE to the lowest computed polymorph: 0 meV/atom
- Energy relative to the elements: 0.051 eV/atom
- VASP energy: -57.35 eV for the cell shown
- Density: 8.3 g/cm³